Material: AcTb2Sm6Ho
Method: DFT, PBE-GGA
State: relaxed

Cell: 9.0287 9.0287 9.6717 Å, 92.88 92.88 117.84°
With the nearest neighbours (Å) after each atom.
Positions (direct):
Ac 0.0266 0.9734 0.7500  4 Tb 3.51-3.61, 4 Sm 3.71-3.83
Ac 0.9734 0.0266 0.2500  4 Tb 3.51-3.61, 4 Sm 3.71-3.83
Tb 0.2032 0.3165 0.5473  6 Sm 3.30-3.61, 2 Ac 3.51-3.61, 1 Ho 3.60
Tb 0.3165 0.2032 0.0473  6 Sm 3.30-3.61, 2 Ac 3.51-3.61, 1 Ho 3.60
Tb 0.6835 0.7968 0.9527  6 Sm 3.30-3.61, 2 Ac 3.51-3.61, 1 Ho 3.60
Tb 0.7968 0.6835 0.4527  6 Sm 3.30-3.61, 2 Ac 3.51-3.61, 1 Ho 3.60
Sm 0.0124 0.5585 0.6848  5 Sm 3.29-3.67, 2 Tb 3.46-3.60, 1 Ho 3.53
Sm 0.1285 0.7522 0.0554  7 Sm 3.49-3.82, 1 Tb 3.61, 1 Ac 3.83
Sm 0.2478 0.8715 0.4446  7 Sm 3.49-3.82, 1 Tb 3.61, 1 Ac 3.83
Sm 0.2886 0.5068 0.8827  4 Sm 3.29-3.56, 3 Tb 3.30-3.47, 2 Ho 3.47-3.60
Sm 0.4415 0.9876 0.8152  5 Sm 3.29-3.67, 2 Tb 3.46-3.60, 1 Ho 3.53
Sm 0.4932 0.7114 0.6173  4 Sm 3.29-3.56, 3 Tb 3.30-3.47, 2 Ho 3.47-3.60
Sm 0.5068 0.2886 0.3827  4 Sm 3.29-3.56, 3 Tb 3.30-3.47, 2 Ho 3.47-3.60
Sm 0.5585 0.0124 0.1848  5 Sm 3.29-3.67, 2 Tb 3.46-3.60, 1 Ho 3.53
Sm 0.7114 0.4932 0.1173  4 Sm 3.29-3.56, 3 Tb 3.30-3.47, 2 Ho 3.47-3.60
Sm 0.7522 0.1285 0.5554  7 Sm 3.49-3.82, 1 Tb 3.61, 1 Ac 3.83
Sm 0.8715 0.2478 0.9446  7 Sm 3.49-3.82, 1 Tb 3.61, 1 Ac 3.83
Sm 0.9876 0.4415 0.3152  5 Sm 3.29-3.67, 2 Tb 3.46-3.60, 1 Ho 3.53
Ho 0.4122 0.5878 0.2500  6 Sm 3.47-3.60, 4 Tb 3.60-3.84
Ho 0.5878 0.4122 0.7500  6 Sm 3.47-3.60, 4 Tb 3.60-3.84

Summary:
energy relative to the elements = 0.1230 eV per atom
space group = C2/c, No. 15
V = 34.69 Å³/atom

Material: AcTb2Sm4Ho
Method: DFT, PBE-GGA
State: relaxed

Cell: 5.1340 5.1533 10.3363 Å, 90.00 90.00 90.00°
With the nearest neighbours (Å) after each atom.
Positions (direct):
Ac 0.0000 0.0000 0.0000  4 Tb 3.64, 8 Sm 3.70-3.71
Tb 0.0000 0.0000 0.5000  8 Sm 3.58-3.59, 4 Ho 3.64
Tb 0.5000 0.5000 0.0000  4 Ac 3.64, 8 Sm 3.70-3.71
Sm 0.0000 0.5000 0.2578  2 Ho 3.59, 4 Tb 3.59-3.70, 4 Sm 3.64, 2 Ac 3.71
Sm 0.0000 0.5000 0.7422  2 Ho 3.59, 4 Tb 3.59-3.70, 4 Sm 3.64, 2 Ac 3.71
Sm 0.5000 0.0000 0.2582  4 Tb 3.58-3.71, 2 Ho 3.59, 4 Sm 3.64, 2 Ac 3.70
Sm 0.5000 0.0000 0.7418  4 Tb 3.58-3.71, 2 Ho 3.59, 4 Sm 3.64, 2 Ac 3.70
Ho 0.5000 0.5000 0.5000  8 Sm 3.59, 4 Tb 3.64

Summary:
energy relative to the elements = 0.0310 eV per atom
space group = Pmmm, No. 47
V = 34.18 Å³/atom

Material: AcTb2SmHo6
Method: DFT, PBE-GGA
State: relaxed

Cell: 8.9176 8.9176 9.5377 Å, 92.67 92.67 117.93°
With the nearest neighbours (Å) after each atom.
Positions (direct):
Ac 0.0307 0.9693 0.7500  4 Tb 3.44-3.55, 4 Ho 3.65-3.84
Ac 0.9693 0.0307 0.2500  4 Tb 3.44-3.55, 4 Ho 3.65-3.84
Tb 0.1983 0.3126 0.5487  6 Ho 3.29-3.55, 2 Ac 3.44-3.55, 1 Sm 3.60
Tb 0.3126 0.1983 0.0487  6 Ho 3.29-3.55, 2 Ac 3.44-3.55, 1 Sm 3.60
Tb 0.6874 0.8017 0.9513  6 Ho 3.29-3.55, 2 Ac 3.44-3.55, 1 Sm 3.60
Tb 0.8017 0.6874 0.4513  6 Ho 3.29-3.55, 2 Ac 3.44-3.55, 1 Sm 3.60
Sm 0.4109 0.5891 0.2500  8 Ho 3.47-3.86, 4 Tb 3.60-3.82
Sm 0.5891 0.4109 0.7500  8 Ho 3.47-3.86, 4 Tb 3.60-3.82
Ho 0.0198 0.5583 0.6799  4 Ho 3.22-3.59, 2 Tb 3.43-3.48, 1 Sm 3.54
Ho 0.1279 0.7492 0.0585  7 Ho 3.42-3.80, 1 Tb 3.55
Ho 0.2508 0.8721 0.4415  7 Ho 3.42-3.80, 1 Tb 3.55
Ho 0.2885 0.5093 0.8841  4 Ho 3.22-3.49, 3 Tb 3.29-3.45, 2 Sm 3.47-3.54
Ho 0.4417 0.9802 0.8201  4 Ho 3.22-3.59, 2 Tb 3.43-3.48, 1 Sm 3.54
Ho 0.4907 0.7115 0.6159  4 Ho 3.22-3.49, 3 Tb 3.29-3.45, 2 Sm 3.47-3.54
Ho 0.5093 0.2885 0.3841  4 Ho 3.22-3.49, 3 Tb 3.29-3.45, 2 Sm 3.47-3.54
Ho 0.5583 0.0198 0.1799  4 Ho 3.22-3.59, 2 Tb 3.43-3.48, 1 Sm 3.54
Ho 0.7115 0.4907 0.1159  4 Ho 3.22-3.49, 3 Tb 3.29-3.45, 2 Sm 3.47-3.54
Ho 0.7492 0.1279 0.5585  7 Ho 3.42-3.80, 1 Tb 3.55
Ho 0.8721 0.2508 0.9415  7 Ho 3.42-3.80, 1 Tb 3.55
Ho 0.9802 0.4417 0.3201  4 Ho 3.22-3.59, 2 Tb 3.43-3.48, 1 Sm 3.54

Summary:
energy relative to the elements = 0.1327 eV per atom
space group = C2/c, No. 15
V = 33.37 Å³/atom

Material: AcTb5Sm2Ho
Method: DFT, PBE-GGA
State: relaxed

Cell: 9.9737 9.9737 9.9737 Å, 127.01 127.01 78.23°
With the nearest neighbours (Å) after each atom.
Positions (direct):
Ac 0.2500 0.2500 0.0000  10 Tb 3.68-3.87
Ac 0.7500 0.7500 0.0000  10 Tb 3.68-3.87
Tb 0.0000 0.0000 0.0000  4 Sm 3.57, 8 Tb 3.79, 2 Ac 3.87
Tb 0.0738 0.5738 0.9106  1 Sm 3.04, 1 Ho 3.17
Tb 0.1632 0.0738 0.5000  1 Sm 3.04, 1 Ho 3.17
Tb 0.3368 0.8368 0.9106  1 Sm 3.04, 1 Ho 3.17
Tb 0.4262 0.3368 0.5000  1 Sm 3.04, 1 Ho 3.17
Tb 0.5000 0.5000 0.0000  4 Sm 3.57, 8 Tb 3.79, 2 Ac 3.87
Tb 0.5738 0.6632 0.5000  1 Sm 3.04, 1 Ho 3.17
Tb 0.6632 0.1632 0.0894  1 Sm 3.04, 1 Ho 3.17
Tb 0.8368 0.9262 0.5000  1 Sm 3.04, 1 Ho 3.17
Tb 0.9262 0.4262 0.0894  1 Sm 3.04, 1 Ho 3.17
Sm 0.1157 0.3843 0.5000  1 Sm 2.91, 2 Tb 3.04
Sm 0.3843 0.8843 0.2686  1 Sm 2.91, 2 Tb 3.04
Sm 0.6157 0.1157 0.7314  1 Sm 2.91, 2 Tb 3.04
Sm 0.8843 0.6157 0.5000  1 Sm 2.91, 2 Tb 3.04
Ho 0.2500 0.7500 0.5000  4 Tb 3.17
Ho 0.7500 0.2500 0.5000  4 Tb 3.17

Summary:
energy relative to the elements = 0.2653 eV per atom
space group = I4/mcm, No. 140
V = 34.04 Å³/atom

Material: AcTb2SmHo
Method: DFT, PBE-GGA
State: relaxed

Cell: 9.3451 9.3451 6.4938 Å, 90.00 90.00 139.51°
With the nearest neighbours (Å) after each atom.
Positions (direct):
Ac 0.1593 0.8407 0.7500  1 Sm 3.30, 4 Ho 3.56-3.66, 4 Tb 3.61
Ac 0.8407 0.1593 0.2500  1 Sm 3.30, 4 Ho 3.56-3.66, 4 Tb 3.61
Tb 0.2506 0.2506 0.0000  4 Tb 3.23-3.25, 2 Sm 3.52
Tb 0.2506 0.2506 0.5000  4 Tb 3.23-3.25, 2 Sm 3.52
Tb 0.7494 0.7494 0.0000  4 Tb 3.23-3.25, 2 Sm 3.52
Tb 0.7494 0.7494 0.5000  4 Tb 3.23-3.25, 2 Sm 3.52
Sm 0.3474 0.6526 0.7500  1 Ac 3.30, 4 Tb 3.52, 2 Ho 3.60
Sm 0.6526 0.3474 0.2500  1 Ac 3.30, 4 Tb 3.52, 2 Ho 3.60
Ho 0.2427 0.7573 0.2500  4 Ac 3.56-3.66, 4 Sm 3.60-3.73
Ho 0.7573 0.2427 0.7500  4 Ac 3.56-3.66, 4 Sm 3.60-3.73

Summary:
energy relative to the elements = 0.3880 eV per atom
space group = Cmcm, No. 63
V = 36.82 Å³/atom

Material: AcTbSm2Ho5
Method: DFT, PBE-GGA
State: relaxed

Cell: 9.9267 9.9267 9.9267 Å, 127.01 127.01 78.24°
With the nearest neighbours (Å) after each atom.
Positions (direct):
Ac 0.2500 0.2500 0.0000  10 Ho 3.67-3.85
Ac 0.7500 0.7500 0.0000  10 Ho 3.67-3.85
Tb 0.2500 0.7500 0.5000  4 Ho 3.16
Tb 0.7500 0.2500 0.5000  4 Ho 3.16
Sm 0.1157 0.6157 0.7313  1 Sm 2.90, 2 Ho 3.02
Sm 0.3843 0.1157 0.5000  1 Sm 2.90, 2 Ho 3.02
Sm 0.6157 0.8843 0.5000  1 Sm 2.90, 2 Ho 3.02
Sm 0.8843 0.3843 0.2687  1 Sm 2.90, 2 Ho 3.02
Ho 0.0000 0.0000 0.0000  4 Sm 3.56, 8 Ho 3.77, 2 Ac 3.85
Ho 0.0744 0.1629 0.5000  1 Sm 3.02, 1 Tb 3.16
Ho 0.1629 0.6629 0.0886  1 Sm 3.02, 1 Tb 3.16
Ho 0.3371 0.4256 0.5000  1 Sm 3.02, 1 Tb 3.16
Ho 0.4256 0.9256 0.0886  1 Sm 3.02, 1 Tb 3.16
Ho 0.5000 0.5000 0.0000  4 Sm 3.56, 8 Ho 3.77, 2 Ac 3.85
Ho 0.5744 0.0744 0.9114  1 Sm 3.02, 1 Tb 3.16
Ho 0.6629 0.5744 0.5000  1 Sm 3.02, 1 Tb 3.16
Ho 0.8371 0.3371 0.9114  1 Sm 3.02, 1 Tb 3.16
Ho 0.9256 0.8371 0.5000  1 Sm 3.02, 1 Tb 3.16

Summary:
energy relative to the elements = 0.2625 eV per atom
space group = I4/mcm, No. 140
V = 33.57 Å³/atom

Material: AcTbSm3Ho
Method: DFT, PBE-GGA
State: relaxed

Cell: 6.4458 6.4458 12.0738 Å, 90.00 90.00 123.87°
With the nearest neighbours (Å) after each atom.
Positions (direct):
Ac 0.0000 0.0000 0.0000  8 Sm 3.60-3.75, 2 Tb 3.62
Ac 0.0000 0.0000 0.5000  8 Sm 3.60-3.75, 2 Tb 3.62
Tb 0.1762 0.8238 0.7500  4 Sm 3.44-3.46, 3 Ho 3.62-3.70, 2 Ac 3.62
Tb 0.8238 0.1762 0.2500  4 Sm 3.44-3.46, 3 Ho 3.62-3.70, 2 Ac 3.62
Sm 0.1801 0.8199 0.2500  2 Tb 3.44, 2 Sm 3.49, 3 Ho 3.62-3.67, 2 Ac 3.65
Sm 0.3295 0.6705 0.5025  1 Tb 3.46, 3 Sm 3.49-3.53, 2 Ho 3.57-3.60, 3 Ac 3.60-3.75
Sm 0.3295 0.6705 0.9975  1 Tb 3.46, 3 Sm 3.49-3.53, 2 Ho 3.57-3.60, 3 Ac 3.60-3.75
Sm 0.6705 0.3295 0.0025  1 Tb 3.46, 3 Sm 3.49-3.53, 2 Ho 3.57-3.60, 3 Ac 3.60-3.75
Sm 0.6705 0.3295 0.4975  1 Tb 3.46, 3 Sm 3.49-3.53, 2 Ho 3.57-3.60, 3 Ac 3.60-3.75
Sm 0.8199 0.1801 0.7500  2 Tb 3.44, 2 Sm 3.49, 3 Ho 3.62-3.67, 2 Ac 3.65
Ho 0.4981 0.5019 0.2500  7 Sm 3.57-3.67, 3 Tb 3.62-3.70
Ho 0.5019 0.4981 0.7500  7 Sm 3.57-3.67, 3 Tb 3.62-3.70

Summary:
energy relative to the elements = 0.1341 eV per atom
space group = Cmcm, No. 63
V = 34.71 Å³/atom

Material: AcTb6Sm2Ho
Method: DFT, PBE-GGA
State: relaxed

Cell: 8.9689 8.9689 9.6238 Å, 92.89 92.89 118.19°
With the nearest neighbours (Å) after each atom.
Positions (direct):
Ac 0.0256 0.9744 0.7500  4 Sm 3.47-3.57, 4 Tb 3.69-3.85
Ac 0.9744 0.0256 0.2500  4 Sm 3.47-3.57, 4 Tb 3.69-3.85
Tb 0.0175 0.5614 0.6848  5 Tb 3.26-3.62, 2 Sm 3.44-3.55, 1 Ho 3.52
Tb 0.1323 0.7471 0.0575  7 Tb 3.46-3.76, 1 Sm 3.60, 1 Ac 3.85, 1 Ho 3.85
Tb 0.2529 0.8677 0.4425  7 Tb 3.46-3.76, 1 Sm 3.60, 1 Ac 3.85, 1 Ho 3.85
Tb 0.2885 0.5046 0.8832  4 Tb 3.26-3.50, 3 Sm 3.28-3.45, 2 Ho 3.46-3.58
Tb 0.4386 0.9825 0.8152  5 Tb 3.26-3.62, 2 Sm 3.44-3.55, 1 Ho 3.52
Tb 0.4954 0.7115 0.6168  4 Tb 3.26-3.50, 3 Sm 3.28-3.45, 2 Ho 3.46-3.58
Tb 0.5046 0.2885 0.3832  4 Tb 3.26-3.50, 3 Sm 3.28-3.45, 2 Ho 3.46-3.58
Tb 0.5614 0.0175 0.1848  5 Tb 3.26-3.62, 2 Sm 3.44-3.55, 1 Ho 3.52
Tb 0.7115 0.4954 0.1168  4 Tb 3.26-3.50, 3 Sm 3.28-3.45, 2 Ho 3.46-3.58
Tb 0.7471 0.1323 0.5575  7 Tb 3.46-3.76, 1 Sm 3.60, 1 Ac 3.85, 1 Ho 3.85
Tb 0.8677 0.2529 0.9425  7 Tb 3.46-3.76, 1 Sm 3.60, 1 Ac 3.85, 1 Ho 3.85
Tb 0.9825 0.4386 0.3152  5 Tb 3.26-3.62, 2 Sm 3.44-3.55, 1 Ho 3.52
Sm 0.1996 0.3156 0.5470  6 Tb 3.28-3.60, 2 Ac 3.47-3.57, 1 Ho 3.61
Sm 0.3156 0.1996 0.0470  6 Tb 3.28-3.60, 2 Ac 3.47-3.57, 1 Ho 3.61
Sm 0.6844 0.8004 0.9530  6 Tb 3.28-3.60, 2 Ac 3.47-3.57, 1 Ho 3.61
Sm 0.8004 0.6844 0.4530  6 Tb 3.28-3.60, 2 Ac 3.47-3.57, 1 Ho 3.61
Ho 0.4110 0.5890 0.2500  8 Tb 3.46-3.85, 4 Sm 3.61-3.83
Ho 0.5890 0.4110 0.7500  8 Tb 3.46-3.85, 4 Sm 3.61-3.83

Summary:
energy relative to the elements = 0.1263 eV per atom
space group = C2/c, No. 15
V = 33.95 Å³/atom